First-principles (PBE-GGA) data for Th2AlAu after structural relaxation, as listed in Alexandria via LeMat-Bulk.

```
4
Lattice="3.424 0.000 0.000 0.000 3.424 0.000 0.000 0.000 8.614" Properties=species:S:1:pos:R:3 pbc="T T T"
Th 0.000 0.000 2.137
Th 0.000 0.000 6.478
Al 1.712 1.712 4.307
Au 1.712 1.712 0.000
```

Spin magnetization = 0.00 Bohr magnetons per cell
Total energy = -23.55 eV per cell
Crystal system = tetragonal
Mass density = 11.31 g/cm3

First-principles (PBE-GGA) data for BaNaAc after structural relaxation, as listed in Alexandria via LeMat-Bulk.

```
3
Lattice="-2.044 2.044 8.633 2.044 -2.044 8.633 2.044 2.044 -8.633" Properties=species:S:1:pos:R:3 pbc="T T T"
Ba 0.000 0.000 0.000
Na 0.000 0.000 11.519
Ac 0.000 0.000 5.527
```

Spin magnetization = 0.00 Bohr magnetons per cell
Total energy = -6.96 eV per cell
Crystal system = tetragonal
Mass density = 4.46 g/cm3

Copy entry 2 word for word.
First-principles (PBE-GGA) data for BaNaAc after structural relaxation, as listed in Alexandria via LeMat-Bulk.

```
3
Lattice="-2.044 2.044 8.633 2.044 -2.044 8.633 2.044 2.044 -8.633" Properties=species:S:1:pos:R:3 pbc="T T T"
Ba 0.000 0.000 0.000
Na 0.000 0.000 11.519
Ac 0.000 0.000 5.527
```

Spin magnetization = 0.00 Bohr magnetons per cell
Total energy = -6.96 eV per cell
Crystal system = tetragonal
Mass density = 4.46 g/cm3